[1]
First-principles (PBE) data for a relaxed RbMnBiSe4 crystal, as listed in Alexandria via LeMat-Bulk.

Structure (POSCAR):
```
RbMnBiSe4
1.0
-4.4945 -1.2900 -5.3423
5.2195 -2.3897 -3.8142
0.3249 -7.7128 5.2768
Se Bi Mn Rb
8 2 2 2
Direct
0.4203 0.7500 0.1729
0.9680 0.5002 0.2843
0.5797 0.2500 0.8271
0.0320 0.0002 0.7157
0.4078 0.7500 0.5560
0.0320 0.4998 0.7157
0.9680 0.9998 0.2843
0.5922 0.2500 0.4440
0.7524 0.7500 0.4304
0.2476 0.2500 0.5696
0.1992 0.7500 0.3160
0.8008 0.2500 0.6839
0.7228 0.7500 0.9274
0.2772 0.2500 0.0726
```

## Properties
ρ   5.056 g/cm3
E   -4.503 eV/atom
Formation energy without anion corrections   -0.5089 eV per atom

***

[2]
First-principles (PBE) data for a relaxed Rb3MnBi3Se8 crystal, as listed in Alexandria via LeMat-Bulk.

Structure (POSCAR):
```
Rb3MnBi3Se8
1.0
-0.1346 2.5512 -7.9921
-6.0131 -5.0980 2.8798
-0.4484 9.0794 2.9056
Se Bi Mn Rb
8 3 1 3
Direct
0.7353 0.4707 0.7060
0.2299 0.0258 0.3218
0.7701 0.9742 0.6782
0.2040 0.4080 0.6782
0.7960 0.5920 0.3219
0.7960 0.0258 0.3218
0.2647 0.5293 0.2940
0.2040 0.9742 0.6782
0.0000 0.5000 0.5000
0.5000 0.0000 0.5000
0.5000 0.5000 0.5000
0.0000 0.0000 0.5000
0.5000 0.5000 0.0000
0.0000 0.5000 0.0000
0.0000 0.0000 0.0000
```

## Properties
ρ   5.199 g/cm3
E   -4.114 eV/atom
Formation energy without anion corrections   -0.6744 eV per atom

***

[3]
First-principles (PBE) data for a relaxed Rb3MnBi2Se6 crystal, as listed in Alexandria via LeMat-Bulk.

Structure (POSCAR):
```
Rb3MnBi2Se6
1.0
-3.6819 2.6256 5.7287
2.7071 -6.7662 0.3978
7.0798 4.2899 0.9269
Rb Se Bi Mn
3 6 2 1
Direct
0.5000 0.5000 0.5000
0.8235 0.1765 0.5000
0.1765 0.8235 0.5000
0.0617 0.3552 0.1822
0.6448 0.9383 0.8178
0.9383 0.6448 0.8178
0.2517 0.2517 0.7916
0.3552 0.0617 0.1822
0.7483 0.7483 0.2084
0.3389 0.6611 0.0000
0.6611 0.3389 0.0000
0.0000 0.0000 0.0000
```

## Properties
ρ   5.383 g/cm3
E   -4.126 eV/atom
Formation energy without anion corrections   -0.7306 eV per atom

***

[4]
First-principles (PBE) data for a relaxed Rb2MnSnBi crystal, as listed in Alexandria via LeMat-Bulk.

Structure (POSCAR):
```
Rb2MnSnBi
1.0
-5.5502 -3.5048 2.7616
3.3035 -1.9000 4.2281
-1.6816 5.7254 3.8867
Mn Rb Sn Bi
1 2 1 1
Direct
0.5000 0.5000 0.5000
0.0000 0.0000 0.5000
0.5000 0.0000 0.0000
0.0000 0.5000 0.0000
0.0000 0.0000 0.0000
```

## Properties
ρ   3.184 g/cm3
E_form   0.6309 eV/atom
E   -3.167 eV/atom

***

[5]
First-principles (PBE) data for a relaxed Rb3MnBi2Te6 crystal, as listed in Alexandria via LeMat-Bulk.

Structure (POSCAR):
```
Rb3MnBi2Te6
1.0
7.7934 0.0089 -0.0034
-3.8871 6.7548 -0.0034
-1.3064 -2.2619 8.5434
Te Bi Rb Mn
6 2 3 1
Direct
0.6344 0.9370 0.8106
0.0630 0.3656 0.1894
0.2387 0.2387 0.8054
0.3656 0.0630 0.1894
0.9370 0.6344 0.8106
0.7613 0.7613 0.1946
0.6652 0.3348 0.0000
0.3348 0.6652 0.0000
0.8240 0.1760 0.5000
0.5000 0.5000 0.5000
0.1760 0.8240 0.5000
0.0000 0.0000 0.0000
```

## Properties
ρ   5.517 g/cm3
E   -3.769 eV/atom
Formation energy without anion corrections   -0.5451 eV per atom

***

[6]
First-principles (PBE) data for a relaxed Mn3ReBi crystal, as listed in Alexandria via LeMat-Bulk.

Structure (POSCAR):
```
Mn3ReBi
1.0
-1.2241 -3.2383 3.1847
-2.6130 -2.1958 -3.2370
3.7150 -2.6114 -1.2274
Re Mn Bi
1 3 1
Direct
0.0000 0.0000 0.0000
0.5000 0.0000 0.0000
0.0000 0.5000 0.0000
0.0000 0.0000 0.5000
0.5000 0.5000 0.5000
```

## Properties
ρ   8.934 g/cm3
E_form   1.0605 eV/atom
E   -7.707 eV/atom

***

[7]
First-principles (PBE) data for a relaxed Ta2MnReBi crystal, as listed in Alexandria via LeMat-Bulk.

Structure (POSCAR):
```
Ta2MnReBi
1.0
-4.4020 -1.5083 1.4870
1.7029 -0.5118 4.5221
-1.2470 4.6178 0.9923
Ta Re Mn Bi
2 1 1 1
Direct
0.0000 0.0000 0.5000
0.5000 0.0000 0.0000
0.0000 0.0000 0.0000
0.0000 0.5000 0.0000
0.5000 0.5000 0.5000
```

## Properties
ρ   11.629 g/cm3
E_form   1.1136 eV/atom
E   -8.727 eV/atom

***

[8]
First-principles (PBE) data for a relaxed MnVReBi2 crystal, as listed in Alexandria via LeMat-Bulk.

Structure (POSCAR):
```
MnVReBi2
1.0
-4.7811 -2.0300 0.6072
0.7040 -2.7371 -3.6070
1.9606 -3.6701 3.1677
Re Bi V Mn
1 2 1 1
Direct
0.0000 0.5000 0.0000
0.5000 0.0000 0.0000
0.0000 0.0000 0.5000
0.0000 0.0000 0.0000
0.5000 0.5000 0.5000
```

## Properties
ρ   9.408 g/cm3
E_form   1.2974 eV/atom
E   -6.402 eV/atom